First-principles (PBE with a Hubbard U) data for a relaxed structure of Nb2VMoF, as listed in Alexandria via LeMat-Bulk.

Cell lengths 4.7482, 4.7011, 4.7482 Å; angles 90.00, 90.00, 90.00 degrees
Site moments in Bohr magnetons follow the coordinates.
Sites, in units of the cell vectors:
Mo 0.0000 0.5000 0.0000  1.83
F 0.5000 0.5000 0.5000  -0.05
Nb 0.0000 0.0000 0.5000  -0.36
Nb 0.5000 0.0000 0.0000  -0.62
V 0.0000 0.0000 0.0000  -0.97

Size of the total moment, μB/cell: 0.389
Space-group type: No. 123
Density of states at the Fermi level, states/eV/atom: 0.904
Calculated total energy, eV per atom: -5.60